SiBiF2 | PBE | relaxed

ΔE to the lowest computed polymorph = 234 meV per atom
energy = -17.08 eV per formula unit
formation energy (no corrections) = -1.009 eV per atom
SG = R-3m, No. 166

Cell lengths 8.818, 8.818, 8.818 Å; angles 22.36, 22.36, 22.36 degrees
Atoms (fractional coordinates):
Si1 0.000 0.000 0.000
Bi1 0.500 0.500 0.500
F1 0.294 0.294 0.294
F2 0.706 0.706 0.706

CePuTc4 | PBE | relaxed

formation energy = -0.01 eV/atom
energy = -61.79 eV per formula unit
SG = F-43m, No. 216

Cell lengths 5.393, 5.393, 5.393 Å; angles 60.00, 60.00, 60.00 degrees
Atoms (fractional coordinates):
Ce1 0.000 0.000 0.000
Pu1 0.750 0.750 0.750
Tc1 0.375 0.375 0.375
Tc2 0.375 0.375 0.874
Tc3 0.375 0.874 0.375
Tc4 0.874 0.375 0.375

HoMg3Cd2 | PBE | relaxed

formation energy = -0.14 eV/atom
ΔE to the lowest computed polymorph = 45 meV per atom
energy = -12.02 eV per formula unit
SG = C2/m, No. 12

Cell lengths 8.748, 8.748, 7.531 Å; angles 109.57, 109.57, 31.64 degrees
Atoms (fractional coordinates):
Ho1 0.114 0.114 0.182
Ho2 0.886 0.886 0.818
Mg1 0.072 0.072 0.704
Mg2 0.301 0.301 0.069
Mg3 0.379 0.379 0.494
Mg4 0.621 0.621 0.506
Mg5 0.699 0.699 0.931
Mg6 0.928 0.928 0.296
Cd1 0.239 0.239 0.652
Cd2 0.480 0.480 0.165
Cd3 0.520 0.520 0.835
Cd4 0.761 0.761 0.348

SrNdGa2Pd2 | PBE | relaxed

formation energy = -0.74 eV/atom
energy = -27.35 eV per formula unit
SG = P-3m1, No. 164

Cell lengths 4.514, 4.514, 7.928 Å; angles 90.00, 90.00, 120.00 degrees
Atoms (fractional coordinates):
Sr1 0.000 0.000 0.000
Nd1 0.000 0.000 0.500
Ga1 0.333 0.667 0.273
Ga2 0.667 0.333 0.727
Pd1 0.333 0.667 0.721
Pd2 0.667 0.333 0.279

Y3TaP | PBE | relaxed

formation energy = 0.10 eV/atom
ΔE to the lowest computed polymorph = 0 meV per atom
energy = -36.18 eV per formula unit
SG = Pm-3m, No. 221

Cell lengths 5.239, 5.239, 5.239 Å; angles 90.00, 90.00, 90.00 degrees
Atoms (fractional coordinates):
Y1 0.000 0.000 0.500
Y2 0.000 0.500 0.000
Y3 0.500 0.000 0.000
Ta1 0.500 0.500 0.500
P1 0.000 0.000 0.000

CsBa2NpS5 | PBE | relaxed

energy = -52.93 eV per formula unit
formation energy (no corrections) = -1.628 eV per atom
SG = Immm, No. 71

Cell lengths 8.732, 8.732, 8.732 Å; angles 145.65, 126.80, 64.87 degrees
Atoms (fractional coordinates):
Cs1 0.000 0.000 0.000
Ba1 0.287 0.787 0.500
Ba2 0.713 0.213 0.500
Np1 0.500 0.500 0.000
S1 0.144 0.369 0.775
S2 0.407 0.631 0.775
S3 0.500 0.000 0.500
S4 0.593 0.369 0.225
S5 0.856 0.631 0.225

CdH8C2S2Br2N4 | PBE | relaxed

energy = -98.00 eV per formula unit
SG = Pnma, No. 62

Cell lengths 13.956, 13.539, 6.221 Å; angles 90.00, 90.00, 90.00 degrees
Atoms (fractional coordinates):
Cd1 0.163 0.250 0.218
Cd2 0.337 0.750 0.718
Cd3 0.663 0.250 0.282
Cd4 0.837 0.750 0.782
H1 0.108 0.620 0.387
H2 0.108 0.880 0.387
H3 0.119 0.656 0.118
H4 0.119 0.844 0.118
H5 0.131 0.084 0.903
H6 0.131 0.416 0.903
H7 0.138 0.544 0.853
H8 0.138 0.956 0.853
H9 0.362 0.044 0.353
H10 0.362 0.456 0.353
H11 0.369 0.584 0.403
H12 0.369 0.916 0.403
H13 0.381 0.156 0.618
H14 0.381 0.344 0.618
H15 0.392 0.120 0.887
H16 0.392 0.380 0.887
H17 0.608 0.620 0.113
H18 0.608 0.880 0.113
H19 0.619 0.656 0.382
H20 0.619 0.844 0.382
H21 0.631 0.084 0.597
H22 0.631 0.416 0.597
H23 0.638 0.544 0.647
H24 0.638 0.956 0.647
H25 0.862 0.044 0.147
H26 0.862 0.456 0.147
H27 0.869 0.584 0.097
H28 0.869 0.916 0.097
H29 0.881 0.156 0.882
H30 0.881 0.344 0.882
H31 0.892 0.120 0.613
H32 0.892 0.380 0.613
C1 0.120 0.507 0.169
C2 0.120 0.993 0.169
C3 0.380 0.007 0.669
C4 0.380 0.493 0.669
C5 0.620 0.507 0.331
C6 0.620 0.993 0.331
C7 0.880 0.007 0.831
C8 0.880 0.493 0.831
S1 0.108 0.083 0.366
S2 0.108 0.417 0.366
S3 0.392 0.583 0.866
S4 0.392 0.917 0.866
S5 0.608 0.083 0.134
S6 0.608 0.417 0.134
S7 0.892 0.583 0.634
S8 0.892 0.917 0.634
Br1 0.130 0.250 0.795
Br2 0.143 0.750 0.752
Br3 0.357 0.250 0.252
Br4 0.370 0.750 0.295
Br5 0.630 0.250 0.705
Br6 0.643 0.750 0.748
Br7 0.857 0.250 0.248
Br8 0.870 0.750 0.205
N1 0.116 0.601 0.230
N2 0.116 0.899 0.230
N3 0.132 0.013 0.961
N4 0.132 0.487 0.961
N5 0.368 0.513 0.461
N6 0.368 0.987 0.461
N7 0.384 0.101 0.730
N8 0.384 0.399 0.730
N9 0.616 0.601 0.270
N10 0.616 0.899 0.270
N11 0.632 0.013 0.539
N12 0.632 0.487 0.539
N13 0.868 0.513 0.039
N14 0.868 0.987 0.039
N15 0.884 0.101 0.770
N16 0.884 0.399 0.770

In2BiPb5 | PBE | relaxed

formation energy = 0.01 eV/atom
ΔE to the lowest computed polymorph = 0 meV per atom
energy = -27.79 eV per formula unit
SG = Cm, No. 8

Cell lengths 7.020, 7.020, 7.039 Å; angles 119.91, 119.91, 90.00 degrees
Atoms (fractional coordinates):
In1 0.250 0.750 0.000
In2 0.750 0.250 0.000
Bi1 0.250 0.250 0.999
Pb1 0.250 0.250 0.500
Pb2 0.250 0.750 0.500
Pb3 0.750 0.250 0.500
Pb4 0.750 0.750 0.000
Pb5 0.750 0.750 0.500

Ge2Bi2Te5 | PBE | relaxed

energy = -34.17 eV per formula unit
formation energy (no corrections) = -0.162 eV per atom
SG = P-3m1, No. 164

Cell lengths 4.349, 4.349, 17.758 Å; angles 90.00, 90.00, 120.00 degrees
Atoms (fractional coordinates):
Ge1 0.333 0.667 0.096
Ge2 0.667 0.333 0.904
Bi1 0.000 0.000 0.310
Bi2 0.000 0.000 0.690
Te1 0.000 0.000 0.000
Te2 0.333 0.667 0.409
Te3 0.333 0.667 0.810
Te4 0.667 0.333 0.190
Te5 0.667 0.333 0.591

KSnBr5 | PBE | relaxed

ΔE to the lowest computed polymorph = 0 meV per atom
energy = -19.93 eV per formula unit
formation energy (no corrections) = -0.923 eV per atom
SG = C2/c, No. 15

Cell lengths 8.381, 8.381, 10.699 Å; angles 109.42, 109.42, 55.14 degrees
Atoms (fractional coordinates):
K1 0.041 0.959 0.750
K2 0.959 0.041 0.250
Sn1 0.500 0.500 0.000
Sn2 0.500 0.500 0.500
Br1 0.135 0.600 0.473
Br2 0.137 0.594 0.888
Br3 0.385 0.615 0.250
Br4 0.400 0.865 0.027
Br5 0.406 0.863 0.612
Br6 0.594 0.137 0.388
Br7 0.600 0.135 0.973
Br8 0.615 0.385 0.750
Br9 0.863 0.406 0.112
Br10 0.865 0.400 0.527

Mg3Mo | PBE | relaxed

formation energy = 1.35 eV/atom
ΔE to the lowest computed polymorph = 1149 meV per atom
energy = -10.23 eV per formula unit
SG = Pm-3m, No. 221

Cell lengths 5.478, 5.478, 5.478 Å; angles 90.00, 90.00, 90.00 degrees
Atoms (fractional coordinates):
Mg1 0.000 0.000 0.500
Mg2 0.000 0.500 0.000
Mg3 0.500 0.000 0.000
Mo1 0.000 0.000 0.000

KOs2Rh | PBE | relaxed

formation energy = 0.96 eV/atom
ΔE to the lowest computed polymorph = 301 meV per atom
energy = -27.07 eV per formula unit
SG = Pmmm, No. 47

Cell lengths 2.655, 3.924, 7.827 Å; angles 90.00, 90.00, 90.00 degrees
Atoms (fractional coordinates):
K1 0.000 0.000 0.000
Os1 0.500 0.500 0.340
Os2 0.500 0.500 0.660
Rh1 0.000 0.000 0.500